{"formula": "Sm3YEr6", "functional": "PBE", "state": "optimized geometry", "lattice_angstrom": [[6.1413, 0.0000, 0.0000], [1.0035, 6.0633, 0.0000], [3.0388, 2.6070, 8.4870]], "species": ["Sm", "Sm", "Sm", "Y", "Er", "Er", "Er", "Er", "Er", "Er"], "frac_coords": [[0.0000, 0.0000, 0.0000], [0.4996, 0.1002, 0.2994], [0.5004, 0.8998, 0.7006], [0.5000, 0.5000, 0.5000], [0.9998, 0.1999, 0.6001], [0.0001, 0.4015, 0.2005], [0.9999, 0.5985, 0.7995], [0.0002, 0.8001, 0.3999], [0.4997, 0.3013, 0.9007], [0.5003, 0.6987, 0.0993]], "dft_energy_ev_per_atom": -4.778, "ef_ev_per_atom": 0.022, "m_tot_mub_per_cell": 0.0, "polymorph_energy_ev_per_atom": 0.0000, "rho_kg_m3": 8110}